Below is an optimized crystal structure of CsRbSr2Ag, with properties calculated at the PBE level.

Unit cell a=6.4465 b=6.4465 c=7.2689 alpha=90.00 beta=90.00 gamma=90.00
Last column: nearest neighbours and their distance in Å.
Fractional coordinates of all 5 atoms:
Cs  0.0000  0.0000  0.0000  4 Rb 4.56, 8 Sr 4.86
Rb  0.5000  0.5000  0.0000  2 Ag 3.63
Sr  0.0000  0.5000  0.5000  2 Ag 3.22
Sr  0.5000  0.0000  0.5000  2 Ag 3.22
Ag  0.5000  0.5000  0.5000  4 Sr 3.22

Crystal system: tetragonal
D(E_F), states/eV per cell: 5.4
Polymorph energy (0 for the lowest one), meV/atom: 3
DFT formation energy, eV/atom: 0.0383